## one
The following is a PBE-GGA calculation of a geometry-optimized Y5In structure, from Alexandria via LeMat-Bulk.

abc: 6.6225 6.6225 8.2638
angles: 75.75 75.75 31.51
Positions (direct):
1 In 0.0045 0.0045 0.9990
2 Y 0.6064 0.6064 0.2587
3 Y 0.2969 0.2969 0.9461
4 Y 0.6586 0.6586 0.6898
5 Y 0.3269 0.3269 0.3340
6 Y 0.9400 0.9400 0.6058

N(E_F) = 8.69 states/eV/cell

---

## two
The following is a PBE-GGA calculation of a geometry-optimized Y5In structure, from Alexandria via LeMat-Bulk.

abc: 6.4060 6.4060 5.7771
angles: 90.00 90.00 120.00
Positions (direct):
1 Y 0.6667 0.3333 0.0000
2 Y 0.5000 0.0000 0.5000
3 Y 0.3333 0.6667 0.0000
4 Y 0.5000 0.5000 0.5000
5 Y 0.0000 0.5000 0.5000
6 In 0.0000 0.0000 0.0000

N(E_F) = 9.62 states/eV/cell

---

## three
The following is a PBE-GGA calculation of a geometry-optimized Y5In structure, from Alexandria via LeMat-Bulk.

abc: 7.9803 7.9803 4.8870
angles: 90.00 90.00 144.40
Positions (direct):
1 In 0.9723 0.0277 0.0000
2 Y 0.8050 0.1950 0.5000
3 Y 0.3109 0.6891 0.0000
4 Y 0.6335 0.3665 0.0000
5 Y 0.1394 0.8606 0.5000
6 Y 0.4722 0.5278 0.5000

N(E_F) = 8.17 states/eV/cell

---

## four
The following is a PBE-GGA calculation of a geometry-optimized Y5In structure, from Alexandria via LeMat-Bulk.

abc: 6.4414 6.4414 6.4414
angles: 60.00 60.00 60.00
Positions (direct):
1 Y 0.6244 0.6244 0.6244
2 Y 0.6244 0.1269 0.6244
3 Y 0.2500 0.2500 0.2500
4 Y 0.6244 0.6244 0.1269
5 Y 0.1269 0.6244 0.6244
6 In 0.0000 0.0000 0.0000

N(E_F) = 7.67 states/eV/cell

---

Q: Which of them is the most stable? A: three.

---

## one
The following is a PBE-GGA calculation of a geometry-optimized Y5In structure, from Alexandria via LeMat-Bulk.

abc: 3.5915 3.5915 14.2843
angles: 90.00 90.00 90.00
Positions (direct):
1 Y 0.5000 0.5000 0.6764
2 Y 0.0000 0.0000 0.1456
3 Y 0.0000 0.0000 0.5000
4 Y 0.0000 0.0000 0.8544
5 Y 0.5000 0.5000 0.3236
6 In 0.5000 0.5000 0.0000

N(E_F) = 6.66 states/eV/cell

---

## two
The following is a PBE-GGA calculation of a geometry-optimized Y5In structure, from Alexandria via LeMat-Bulk.

abc: 9.3423 9.3423 5.5447
angles: 90.00 90.00 157.75
Positions (direct):
1 Y 0.6609 0.3391 0.0000
2 Y 0.4520 0.5480 0.5000
3 Y 0.7765 0.2235 0.5000
4 Y 0.1102 0.8898 0.5000
5 Y 0.3323 0.6677 0.0000
6 In 0.0014 0.9986 0.0000

N(E_F) = 6.61 states/eV/cell

---

Q: Which of them is the most stable? A: one.

---

## one
The following is a PBE-GGA calculation of a geometry-optimized Y5In3 structure, from Alexandria via LeMat-Bulk.

abc: 9.0803 9.0803 6.5847
angles: 90.00 90.00 120.00
Positions (direct):
1 Y 0.0000 0.2368 0.7500
2 Y 0.7632 0.0000 0.2500
3 Y 0.6667 0.3333 0.5000
4 Y 0.2368 0.2368 0.2500
5 Y 0.0000 0.7632 0.2500
6 Y 0.3333 0.6667 0.0000
7 Y 0.6667 0.3333 0.0000
8 Y 0.3333 0.6667 0.5000
9 Y 0.7632 0.7632 0.7500
10 Y 0.2368 0.0000 0.7500
11 In 0.0000 0.5978 0.7500
12 In 0.4022 0.0000 0.2500
13 In 0.0000 0.4022 0.2500
14 In 0.5978 0.0000 0.7500
15 In 0.4022 0.4022 0.7500
16 In 0.5978 0.5978 0.2500

N(E_F) = 24.05 states/eV/cell

---

## two
The following is a PBE-GGA calculation of a geometry-optimized Y5In3 structure, from Alexandria via LeMat-Bulk.

abc: 6.7828 6.7828 5.1479
angles: 90.00 90.00 105.65
Positions (direct):
1 In 0.7920 0.2080 0.5000
2 In 0.2080 0.7920 0.5000
3 In 0.5000 0.5000 0.0000
4 Y 0.5000 0.0000 0.0000
5 Y 0.0000 0.5000 0.0000
6 Y 0.0000 0.0000 0.0000
7 Y 0.2860 0.2860 0.5000
8 Y 0.7140 0.7140 0.5000

N(E_F) = 10.35 states/eV/cell

---

Q: Which of them is the most stable? A: one.